Material: Cu2SiIr
Method: DFT, PBE
State: optimized geometry

- Magnetic moment: 0.00 μB/atom
- Volume: 101 Å³/cell
- Formation energy (no corrections): -186 meV per atom
- DOS(E_F): 3.01 states/eV per cell
- Uncorrected energy: -23.219 eV/f.u.

Unit cell a=3.726 b=3.735 c=7.264 alpha=90.00 beta=90.00 gamma=90.00
Space group Imm2 (No. 44)
Symmetry-distinct sites (fractional):
Cu1 0.000 0.000 0.000 (multiplicity 2)
Cu2 0.000 0.500 0.250 (multiplicity 2)
Si1 0.000 0.000 0.500 (multiplicity 2)
Ir1 0.000 0.500 0.750 (multiplicity 2)



Material: HgSb2Pb5
Method: DFT, PBE
State: optimized geometry

- Magnetic moment: 0.00 μB/atom
- Energy relative to the lowest polymorph listed for this composition: 0 meV per atom
- Volume: 519 Å³/cell
- Formation energy (no corrections): 45 meV per atom
- DOS(E_F): 7.45 states/eV per cell
- Uncorrected energy: -26.725 eV/f.u.

Unit cell a=4.298 b=7.460 c=16.191 alpha=90.00 beta=90.00 gamma=90.00
Space group Immm (No. 71)
Symmetry-distinct sites (fractional):
Hg1 0.000 0.000 0.000 (multiplicity 2)
Sb1 0.000 0.500 0.208 (multiplicity 4)
Pb1 0.000 0.257 0.376 (multiplicity 8)
Pb2 0.000 0.500 0.000 (multiplicity 2)



Material: PmNd8Ho6
Method: DFT, PBE
State: optimized geometry

- Magnetic moment: 0.00 μB/atom
- Energy relative to the lowest polymorph listed for this composition: 4 meV per atom
- Volume: 509 Å³/cell
- Calculated formation energy: 0.162 eV/atom
- DOS(E_F): 24.58 states/eV per cell
- Uncorrected energy: -67.933 eV/f.u.

Unit cell a=9.9468 b=9.9468 c=5.9454 alpha=90.00 beta=90.00 gamma=120.00
Space group P-3 (No. 147)
Symmetry-distinct sites (fractional):
Pm1 0.0000 0.0000 0.0000 (multiplicity 1)
Nd1 0.0526 0.2762 0.7254 (multiplicity 6)
Nd2 0.3333 0.6667 0.7232 (multiplicity 2)
Ho1 0.0930 0.4723 0.2410 (multiplicity 6)



Material: TiSn3Mo
Method: DFT, PBE
State: optimized geometry

- Magnetic moment: 0.86 μB/atom
- Volume: 143 Å³/cell
- Calculated formation energy: 0.955 eV/atom
- DOS(E_F): 3.94 states/eV per cell
- Uncorrected energy: -25.962 eV/f.u.

Unit cell a=5.233 b=5.233 c=5.233 alpha=90.00 beta=90.00 gamma=90.00
Space group Pm-3m (No. 221)
Symmetry-distinct sites (fractional):
Ti1 0.000 0.000 0.000 (multiplicity 1)
Sn1 0.000 0.000 0.500 (multiplicity 3)
Mo1 0.500 0.500 0.500 (multiplicity 1)